No. 1
# meta-GGA SCAN Ba2GaPd2, single point on PBEsol structure
# uncorrected energy: -324.7 eV/cell
# crystal system: tetragonal
data_Ba2GaPd2
_chemical_formula_sum 'Ba4 Ga2 Pd4'
_symmetry_space_group_name_H-M 'I 4/m m m'
_symmetry_Int_Tables_number 139
_symmetry_space_group_name_Hall '-I 4 2'
_cell_length_a 3.807
_cell_length_b 3.807
_cell_length_c 19.048
_cell_angle_alpha 90.00
_cell_angle_beta 90.00
_cell_angle_gamma 90.00
loop_
_atom_site_label
_atom_site_type_symbol
_atom_site_fract_x
_atom_site_fract_y
_atom_site_fract_z
Ba1 Ba 0.000 0.000 0.117
Ga1 Ga 0.000 0.000 0.500
Pd1 Pd 0.000 0.500 0.250



No. 2
# meta-GGA SCAN Tb3GaFeS7, single point on PBEsol structure
# crystal system: hexagonal
# ΔE_f (raw): -1706.9 meV per atom
data_Tb3GaFeS7
_chemical_formula_sum 'Tb6 Ga2 Fe2 S14'
_symmetry_space_group_name_H-M 'P 63'
_symmetry_Int_Tables_number 173
_cell_length_a 9.3181
_cell_length_b 9.3181
_cell_length_c 6.1366
_cell_angle_alpha 90.00
_cell_angle_beta 90.00
_cell_angle_gamma 120.00
loop_
_symmetry_equiv_pos_as_xyz
'x,y,z'
'x-y,x,z+1/2'
'-y,x-y,z'
'-x,-y,z+1/2'
'-x+y,-x,z'
'y,-x+y,z+1/2'
loop_
_atom_site_label
_atom_site_type_symbol
_atom_site_fract_x
_atom_site_fract_y
_atom_site_fract_z
Tb1 Tb 0.1701 0.7954 0.0000
Ga1 Ga 0.3333 0.6667 0.5734
Fe1 Fe 0.0000 0.0000 0.1505
S1 S 0.0788 0.5268 0.7226
S2 S 0.0998 0.8831 0.3976
S3 S 0.3333 0.6667 0.2100



No. 3
# meta-GGA SCAN CuPd3, single point on PBEsol structure
# uncorrected energy: -227.5 eV/cell
# crystal system: tetragonal
data_CuPd3
_chemical_formula_sum 'Cu2 Pd6'
_symmetry_space_group_name_H-M 'I 4/m m m'
_symmetry_Int_Tables_number 139
_symmetry_space_group_name_Hall '-I 4 2'
_cell_length_a 3.791
_cell_length_b 3.791
_cell_length_c 7.689
_cell_angle_alpha 90.00
_cell_angle_beta 90.00
_cell_angle_gamma 90.00
loop_
_atom_site_label
_atom_site_type_symbol
_atom_site_fract_x
_atom_site_fract_y
_atom_site_fract_z
Cu1 Cu 0.000 0.000 0.000
Pd1 Pd 0.000 0.000 0.500
Pd2 Pd 0.000 0.500 0.250



No. 4
# meta-GGA SCAN CaCdBr2N, single point on PBEsol structure
# crystal system: tetragonal
# ΔE_f (raw): -103.0 meV per atom
data_CaCdBr2N
_chemical_formula_sum 'Ca1 Cd1 Br2 N1'
_symmetry_space_group_name_H-M 'P 4/m m m'
_symmetry_Int_Tables_number 123
_symmetry_space_group_name_Hall '-P 4 2'
_cell_length_a 5.704
_cell_length_b 5.704
_cell_length_c 3.914
_cell_angle_alpha 90.00
_cell_angle_beta 90.00
_cell_angle_gamma 90.00
loop_
_atom_site_label
_atom_site_type_symbol
_atom_site_fract_x
_atom_site_fract_y
_atom_site_fract_z
Ca1 Ca 0.000 0.000 0.000
Cd1 Cd 0.500 0.500 0.000
Br1 Br 0.000 0.500 0.500
N1 N 0.500 0.500 0.500



No. 5
# meta-GGA SCAN NbReOsPd2, single point on PBEsol structure
# uncorrected energy: -233.6 eV/cell
# crystal system: tetragonal
data_NbReOsPd2
_chemical_formula_sum 'Nb1 Re1 Os1 Pd2'
_symmetry_space_group_name_H-M 'P 4/m m m'
_symmetry_Int_Tables_number 123
_symmetry_space_group_name_Hall '-P 4 2'
_cell_length_a 4.660
_cell_length_b 4.660
_cell_length_c 4.643
_cell_angle_alpha 90.00
_cell_angle_beta 90.00
_cell_angle_gamma 90.00
loop_
_atom_site_label
_atom_site_type_symbol
_atom_site_fract_x
_atom_site_fract_y
_atom_site_fract_z
Nb1 Nb 0.000 0.000 0.000
Re1 Re 0.500 0.500 0.500
Os1 Os 0.500 0.500 0.000
Pd1 Pd 0.000 0.500 0.500



No. 6
# meta-GGA SCAN HgAs4Ru, single point on PBEsol structure
# uncorrected energy: -715.9 eV/cell
# crystal system: cubic
data_HgAs4Ru
_chemical_formula_sum 'Hg4 As16 Ru4'
_symmetry_space_group_name_H-M 'F -4 3 m'
_symmetry_Int_Tables_number 216
_symmetry_space_group_name_Hall 'F -4 2 3'
_cell_length_a 7.661
_cell_length_b 7.661
_cell_length_c 7.661
_cell_angle_alpha 90.00
_cell_angle_beta 90.00
_cell_angle_gamma 90.00
loop_
_atom_site_label
_atom_site_type_symbol
_atom_site_fract_x
_atom_site_fract_y
_atom_site_fract_z
Hg1 Hg 0.000 0.000 0.000
As1 As 0.126 0.126 0.626
Ru1 Ru 0.250 0.250 0.250